Record 1
The following is a DFT calculation (PBE) of an optimized crystal structure of TcSb3Pt.

Summary:
- Formation energy without anion corrections: 0.66 eV per atom
- D(E_F): 4.77 states/eV/f.u.
- Distance to the lowest polymorph of the same formula: 0 meV per atom

a = 5.066 Å, b = 5.066 Å, c = 5.066 Å
α = 90.00°, β = 90.00°, γ = 90.00°
Positions (direct):
1 Sb 0.000 0.000 0.500
2 Sb 0.500 0.000 0.000
3 Sb 0.000 0.500 0.000
4 Pt 0.500 0.500 0.500
5 Tc 0.000 0.000 0.000


Record 2
The following is a DFT calculation (PBE) of an optimized crystal structure of Tb3Pr3Y.

Summary:
- D(E_F): 13.35 states/eV/f.u.
- Distance to the lowest polymorph of the same formula: 0 meV per atom
- ΔH_f (0 K): 24 meV per atom

a = 5.822 Å, b = 9.747 Å, c = 9.747 Å
α = 120.00°, β = 90.00°, γ = 90.00°
Positions (direct):
1 Tb 0.250 0.234 0.190
2 Tb 0.250 0.810 0.044
3 Tb 0.750 0.766 0.810
4 Tb 0.750 0.190 0.956
5 Tb 0.750 0.044 0.234
6 Tb 0.250 0.956 0.766
7 Pr 0.250 0.527 0.622
8 Pr 0.250 0.378 0.905
9 Pr 0.250 0.095 0.473
10 Pr 0.750 0.473 0.378
11 Pr 0.750 0.905 0.527
12 Pr 0.750 0.622 0.095
13 Y 0.750 0.333 0.667
14 Y 0.250 0.667 0.333